1.
Material: BeAg2Pt
Method: DFT, PBE-GGA
State: optimized geometry

Computed properties:
The total magnetization comes out at 0.0 Bohr magnetons per cell. The calculation puts the electronic total energy at -3.789 eV per atom. The density comes out at 11.67 Mg/m³.

abc: 8.8847 8.8847 8.8847
angles: 18.20 18.20 18.20
Last column: nearest neighbours and their distance in Å.
Element x y z (fractional)
Ag (0.9906, 0.9906, 0.9906)  3 Be 2.53, 6 Ag 2.81
Pt (0.7500, 0.7500, 0.7500)  6 Pt 2.81, 6 Ag 2.92
Be (0.2500, 0.2500, 0.2500)  6 Ag 2.53, 6 Be 2.81
Ag (0.5094, 0.5094, 0.5094)  3 Be 2.53, 6 Ag 2.81


2.
Material: CdSbTe2
Method: DFT, PBE-GGA
State: optimized geometry

Computed properties:
The total magnetization comes out at 0.0 Bohr magnetons per cell. The density comes out at 7.36 Mg/m³. The energy above the most stable polymorph in this dataset is 356.1 meV per atom. Its energy relative to the elements, uncorrected is 0.20 eV per atom.

abc: 3.7324 5.2285 5.6549
angles: 90.00 90.00 90.00
Last column: nearest neighbours and their distance in Å.
Element x y z (fractional)
Cd (0.5000, 0.0000, 0.5000)  4 Sb 3.21, 4 Te 3.39
Sb (0.0000, 0.5000, 0.5000)  4 Cd 3.21, 4 Te 3.39
Te (0.5000, 0.5000, 0.0000)  4 Te 3.21, 4 Sb 3.39
Te (0.0000, 0.0000, 0.0000)  4 Te 3.21, 4 Cd 3.39


3.
Material: GdZrBi2
Method: DFT, PBE-GGA
State: optimized geometry

Computed properties:
The total magnetization comes out at 6.7 Bohr magnetons per cell. The density comes out at 9.35 Mg/m³. The energy above the most stable polymorph in this dataset is 0.0 meV per atom.

abc: 4.3586 4.3586 7.6225
angles: 73.39 73.39 60.00
Last column: nearest neighbours and their distance in Å.
Element x y z (fractional)
Zr (0.0000, 0.0000, 0.0000)  6 Bi 3.03
Bi (0.7451, 0.7451, 0.7648)  3 Zr 3.03, 3 Gd 3.16
Bi (0.2549, 0.2549, 0.2352)  3 Zr 3.03, 3 Gd 3.16
Gd (0.5000, 0.5000, 0.5000)  6 Bi 3.16


4.
Material: Ta2MoSe
Method: DFT, PBE-GGA
State: optimized geometry

Computed properties:
The total magnetization comes out at 0.0 Bohr magnetons per cell. The density comes out at 12.07 Mg/m³. Its energy relative to the elements, uncorrected is 0.59 eV per atom.

abc: 3.9536 3.9536 9.8565
angles: 78.43 78.43 90.00
Last column: nearest neighbours and their distance in Å.
Element x y z (fractional)
Ta (0.8750, 0.8675, 0.7500)  2 Se 2.73, 4 Ta 2.75-2.84, 2 Mo 2.76
Ta (0.6175, 0.1250, 0.2500)  2 Se 2.73, 4 Ta 2.75-2.84, 2 Mo 2.76
Mo (0.7500, 0.2500, 0.5000)  4 Ta 2.76, 4 Se 2.80
Se (0.2500, 0.7500, 0.5000)  4 Ta 2.73, 4 Mo 2.80
Mo (0.0000, 0.0000, 0.0000)  4 Ta 2.76, 4 Se 2.80
Ta (0.3750, 0.3825, 0.7500)  2 Se 2.73, 4 Ta 2.75-2.84, 2 Mo 2.76
Ta (0.1325, 0.6250, 0.2500)  2 Se 2.73, 4 Ta 2.75-2.84, 2 Mo 2.76
Se (0.5000, 0.5000, 0.0000)  4 Ta 2.73, 4 Mo 2.80


5.
Material: Ac2ScSn4Rh3
Method: DFT, PBE-GGA
State: optimized geometry

Computed properties:
The total magnetization comes out at 0.0 Bohr magnetons per cell. The calculation puts the electronic total energy at -5.975 eV per atom. The density comes out at 8.80 Mg/m³.

abc: 4.5345 4.5345 11.7691
angles: 90.00 90.00 90.00
Last column: nearest neighbours and their distance in Å.
Element x y z (fractional)
Sn (0.5000, 0.5000, 0.0000)  4 Rh 2.70
Sc (0.5000, 0.5000, 0.5000)  4 Sn 2.86
Sn (0.0000, 0.0000, 0.0000)  4 Rh 2.70
Ac (0.5000, 0.0000, 0.2384)  6 Rh 3.47-3.82, 8 Sn 3.48-3.61, 2 Sc 3.82
Sn (0.0000, 0.5000, 0.3525)  3 Rh 2.68-2.86, 2 Sc 2.86
Rh (0.5000, 0.0000, 0.8753)  5 Sn 2.68-2.70
Rh (0.0000, 0.5000, 0.1247)  5 Sn 2.68-2.70
Sn (0.5000, 0.0000, 0.6475)  3 Rh 2.68-2.86, 2 Sc 2.86
Ac (0.0000, 0.5000, 0.7616)  6 Rh 3.47-3.82, 8 Sn 3.48-3.61, 2 Sc 3.82
Rh (0.0000, 0.0000, 0.5000)  4 Sn 2.86


6.
Material: Te2OsAu
Method: DFT, PBE-GGA
State: optimized geometry

Computed properties:
The total magnetization comes out at 0.0 Bohr magnetons per cell. The density comes out at 11.43 Mg/m³. The energy above the most stable polymorph in this dataset is 237.5 meV per atom. Its energy relative to the elements, uncorrected is 0.41 eV per atom.

abc: 3.1560 3.1560 9.3685
angles: 90.00 90.00 90.00
Last column: nearest neighbours and their distance in Å.
Element x y z (fractional)
Te (0.5000, 0.5000, 0.2960)  4 Te 3.16, 4 Au 3.22
Os (0.5000, 0.5000, 0.7509)  4 Te 2.68, 4 Au 2.96
Te (0.0000, 0.0000, 0.9094)  4 Os 2.68
Au (0.0000, 0.0000, 0.5437)  4 Os 2.96, 4 Au 3.16, 4 Te 3.22


7.
Material: Ti3ReBr
Method: DFT, PBE-GGA
State: optimized geometry

Computed properties:
The total magnetization comes out at 0.0 Bohr magnetons per cell. The density comes out at 6.00 Mg/m³. The energy above the most stable polymorph in this dataset is 0.0 meV per atom. Its energy relative to the elements, uncorrected is 0.63 eV per atom.

abc: 4.8390 4.8390 4.8390
angles: 90.00 90.00 90.00
Last column: nearest neighbours and their distance in Å.
Element x y z (fractional)
Ti (0.5000, 0.0000, 0.0000)  2 Re 2.42
Ti (0.0000, 0.5000, 0.0000)  2 Re 2.42
Br (0.5000, 0.5000, 0.5000)  12 Ti 3.42
Re (0.0000, 0.0000, 0.0000)  6 Ti 2.42
Ti (0.0000, 0.0000, 0.5000)  2 Re 2.42


8.
Material: LiMnGa2
Method: DFT, PBE-GGA
State: optimized geometry

Computed properties:
The total magnetization comes out at 2.7 Bohr magnetons per cell. The calculation puts the electronic total energy at -4.371 eV per atom. The density comes out at 5.54 Mg/m³.

abc: 2.8490 2.8490 8.7421
angles: 80.62 80.62 60.00
Last column: nearest neighbours and their distance in Å.
Element x y z (fractional)
Ga (0.0801, 0.0801, 0.7598)  3 Mn 2.64, 3 Li 2.78, 6 Ga 2.85
Ga (0.2529, 0.2529, 0.2412)  3 Mn 2.64, 3 Li 2.75, 6 Ga 2.85
Li (0.5005, 0.5005, 0.4985)  6 Ga 2.75-2.78, 6 Li 2.85
Mn (0.6665, 0.6665, 0.0006)  6 Ga 2.64, 6 Mn 2.85


9.
Material: Dy2ScPt2
Method: DFT, PBE-GGA
State: optimized geometry

Computed properties:
The total magnetization comes out at 0.0 Bohr magnetons per cell. The calculation puts the electronic total energy at -6.552 eV per atom. The density comes out at 11.10 Mg/m³.

abc: 4.1154 5.7665 5.7665
angles: 66.82 69.09 69.09
Last column: nearest neighbours and their distance in Å.
Element x y z (fractional)
Dy (0.2002, 0.2998, 0.2998)  6 Pt 3.05-3.15, 2 Sc 3.32
Pt (0.5000, 0.7230, 0.2770)  2 Sc 2.71, 1 Pt 2.83
Dy (0.7998, 0.7002, 0.7002)  6 Pt 3.05-3.15, 2 Sc 3.32
Pt (0.5000, 0.2770, 0.7230)  2 Sc 2.71, 1 Pt 2.83
Sc (0.0000, 0.0000, 0.0000)  4 Pt 2.71


10.
Material: CdIn2NiGe
Method: DFT, PBE-GGA
State: optimized geometry

Computed properties:
The total magnetization comes out at 0.0 Bohr magnetons per cell. The calculation puts the electronic total energy at -3.293 eV per atom. The density comes out at 6.71 Mg/m³.

abc: 5.0897 5.0897 4.5226
angles: 90.00 90.00 90.00
Last column: nearest neighbours and their distance in Å.
Element x y z (fractional)
Ni (0.0000, 0.0000, 0.0000)  2 Ge 2.26
Ge (0.0000, 0.0000, 0.5000)  2 Ni 2.26
Cd (0.5000, 0.5000, 0.5000)  8 In 3.40, 4 Ge 3.60
In (0.0000, 0.5000, 0.0000)  2 Ni 2.54
In (0.5000, 0.0000, 0.0000)  2 Ni 2.54


11.
Material: PuZrHgBi
Method: DFT, PBE-GGA
State: optimized geometry

Computed properties:
The total magnetization comes out at 6.8 Bohr magnetons per cell. The calculation puts the electronic total energy at -6.883 eV per atom. The density comes out at 12.11 Mg/m³.

abc: 5.2466 5.2466 5.2466
angles: 60.00 60.00 60.00
Last column: nearest neighbours and their distance in Å.
Element x y z (fractional)
Zr (0.7500, 0.7500, 0.7500)  4 Hg 3.21, 4 Bi 3.21
Bi (0.0000, 0.0000, 0.0000)  4 Pu 3.21, 4 Zr 3.21
Hg (0.5000, 0.5000, 0.5000)  4 Zr 3.21, 4 Pu 3.21
Pu (0.2500, 0.2500, 0.2500)  4 Hg 3.21, 4 Bi 3.21


12.
Material: Hf8TiGa2
Method: DFT, PBE-GGA
State: optimized geometry

Computed properties:
The total magnetization comes out at 0.0 Bohr magnetons per cell. The calculation puts the electronic total energy at -8.525 eV per atom. The density comes out at 11.51 Mg/m³.

abc: 5.0840 7.5585 7.5585
angles: 118.11 102.32 102.32
Last column: nearest neighbours and their distance in Å.
Element x y z (fractional)
Ga (0.0000, 0.3031, 0.6969)  8 Hf 2.78-2.92
Hf (0.6975, 0.3937, 0.3937)  1 Ti 2.80, 4 Hf 2.82-3.09, 2 Ga 2.92
Ti (0.5000, 0.0000, 0.0000)  4 Hf 2.80-2.81
Hf (0.5000, 0.2171, 0.7829)  2 Ga 2.78, 1 Ti 2.81
Hf (0.8811, 0.9064, 0.6774)  2 Ga 2.79-2.85, 3 Hf 2.95-3.07
Hf (0.3025, 0.6063, 0.6063)  1 Ti 2.80, 4 Hf 2.82-3.09, 2 Ga 2.92
Hf (0.8811, 0.6774, 0.9064)  2 Ga 2.79-2.85, 3 Hf 2.95-3.07
Hf (0.1189, 0.0936, 0.3226)  2 Ga 2.79-2.85, 3 Hf 2.95-3.07
Hf (0.1189, 0.3226, 0.0936)  2 Ga 2.79-2.85, 3 Hf 2.95-3.07
Ga (0.0000, 0.6969, 0.3031)  8 Hf 2.78-2.92
Hf (0.5000, 0.7829, 0.2171)  2 Ga 2.78, 1 Ti 2.81